Below is a relaxed ZrTa3 crystal, with properties calculated at the GGA-PBE level.

Cell: 2.823 5.106 5.631 Å, 91.60 90.00 106.05°
Atoms (fractional coordinates):
Zr  0.750  0.500  0.250
Ta  0.998  0.997  0.991
Ta  0.502  0.003  0.509
Ta  0.250  0.500  0.750

Summary:
Its formation energy is 0.213 eV/atom. Its total energy is -43.25 eV/cell. The space-group type is C2/m, No. 12. As for the volume: 78.0 Å³ per cell. Its crystal system is monoclinic.

***

Below is a relaxed BOsCl2 crystal, with properties calculated at the GGA-PBE level.

Cell: 8.760 8.760 6.517 Å, 47.77 47.77 90.00°
Atoms (fractional coordinates):
B  0.500  0.500  0.000
B  0.250  0.750  0.500
Cl  0.978  0.625  0.250
Cl  0.375  0.228  0.750
Cl  0.875  0.022  0.750
Cl  0.772  0.125  0.250
Os  0.000  0.000  0.000
Os  0.750  0.250  0.500

Summary:
For the formation energy without anion corrections, the calculation gives 0.517 eV/atom. Its total energy is -39.07 eV/cell. The space-group type is I-42d, No. 122. As for the volume: 155.5 Å³ per cell. Its crystal system is tetragonal.

***

Below is a relaxed Hf2ZrSi crystal, with properties calculated at the GGA-PBE level.

Cell: 6.602 3.503 7.395 Å, 90.00 96.87 90.00°
Atoms (fractional coordinates):
Si  0.706  0.000  0.044
Si  0.429  0.500  0.495
Zr  0.432  0.500  0.884
Zr  0.985  0.500  0.923
Hf  0.354  0.000  0.220
Hf  0.147  0.000  0.602
Hf  0.700  0.000  0.653
Hf  0.783  0.500  0.321

Summary:
For the formation energy without anion corrections, the calculation gives -0.335 eV/atom. Its total energy is -70.43 eV/cell. The space-group type is Pm, No. 6. As for the volume: 169.8 Å³ per cell. Its crystal system is monoclinic.

***

Below is a relaxed SrHfP3 crystal, with properties calculated at the GGA-PBE level.

Cell: 5.106 5.106 5.106 Å, 90.00 90.00 90.00°
Atoms (fractional coordinates):
Sr  0.000  0.000  0.000
P  0.000  0.500  0.000
P  0.000  0.000  0.500
P  0.500  0.000  0.000
Hf  0.500  0.500  0.500

Summary:
Its formation energy is 1.370 eV/atom. Its total energy is -21.02 eV/cell. The space-group type is Pm-3m, No. 221. As for the volume: 133.2 Å³ per cell. Its crystal system is cubic.

***

Below is a relaxed OsRuI2N crystal, with properties calculated at the GGA-PBE level.

Cell: 5.540 5.540 3.701 Å, 90.00 90.00 90.00°
Site moments in Bohr magnetons follow the coordinates.
Atoms (fractional coordinates):
Ru  0.500  0.500  0.500  2.44
Os  0.000  0.000  0.000  -0.09
N  0.000  0.000  0.500  -0.01
I  0.000  0.500  0.000  0.07
I  0.500  0.000  0.000  0.07

Summary:
For the formation energy without anion corrections, the calculation gives 1.104 eV/atom. Its total energy is -26.41 eV/cell. The space-group type is P4/mmm, No. 123. As for the volume: 113.6 Å³ per cell. Its crystal system is tetragonal.

***

Below is a relaxed Ba12N3O5 crystal, with properties calculated at the GGA-PBE level.

Cell: 14.414 14.414 14.414 Å, 109.47 109.47 109.47°
Site moments in Bohr magnetons follow the coordinates.
Atoms (fractional coordinates):
N  0.375  0.625  0.250  -0.04
N  0.875  0.750  0.125  -0.04
N  0.375  0.750  0.625  -0.04
N  0.125  0.875  0.750  -0.04
N  0.625  0.250  0.375  -0.04
N  0.750  0.375  0.125  -0.04
N  0.250  0.125  0.375  -0.04
N  0.250  0.625  0.875  -0.04
N  0.750  0.875  0.625  -0.04
N  0.125  0.250  0.875  -0.04
N  0.625  0.375  0.750  -0.04
N  0.875  0.125  0.250  -0.04
Ba  0.322  0.787  0.421  0.09
Ba  0.787  0.465  0.367  0.09
Ba  0.133  0.713  0.535  0.09
Ba  0.178  0.079  0.713  0.09
Ba  0.713  0.133  0.035  0.09
Ba  0.633  0.035  0.213  0.09
Ba  0.598  0.965  0.678  0.09
Ba  0.822  0.902  0.035  0.09
Ba  0.367  0.402  0.079  0.09
Ba  0.287  0.421  0.822  0.09
Ba  0.678  0.465  0.598  0.09
Ba  0.402  0.035  0.322  0.09
Ba  0.902  0.079  0.867  0.09
Ba  0.465  0.678  0.098  0.09
Ba  0.213  0.535  0.633  0.09
Ba  0.421  0.287  0.322  0.09
Ba  0.579  0.867  0.402  0.09
Ba  0.421  0.133  0.598  0.09
Ba  0.287  0.867  0.965  0.09
Ba  0.965  0.598  0.178  0.09
Ba  0.035  0.402  0.822  0.09
Ba  0.079  0.902  0.367  0.09
Ba  0.867  0.287  0.465  0.09
Ba  0.098  0.178  0.465  0.09
Ba  0.598  0.633  0.421  0.09
Ba  0.079  0.178  0.213  0.09
Ba  0.035  0.633  0.713  0.09
Ba  0.465  0.787  0.867  0.09
Ba  0.902  0.822  0.535  0.09
Ba  0.322  0.535  0.402  0.09
Ba  0.787  0.322  0.921  0.09
Ba  0.867  0.579  0.902  0.09
Ba  0.633  0.598  0.921  0.09
Ba  0.965  0.367  0.287  0.09
Ba  0.535  0.322  0.902  0.09
Ba  0.713  0.579  0.178  0.09
Ba  0.367  0.965  0.787  0.09
Ba  0.178  0.098  0.965  0.09
Ba  0.921  0.822  0.787  0.09
Ba  0.579  0.713  0.678  0.09
Ba  0.098  0.921  0.133  0.09
Ba  0.133  0.421  0.098  0.09
Ba  0.402  0.367  0.579  0.09
Ba  0.678  0.213  0.579  0.09
Ba  0.921  0.098  0.633  0.09
Ba  0.213  0.678  0.079  0.09
Ba  0.822  0.921  0.287  0.09
Ba  0.535  0.213  0.133  0.09
O  0.000  0.500  0.000  0.01
O  0.625  0.750  0.875  -0.01
O  0.625  0.875  0.250  -0.01
O  0.500  0.500  0.000  0.01
O  0.000  0.000  0.500  0.01
O  0.375  0.250  0.125  -0.01
O  0.125  0.375  0.250  -0.01
O  0.250  0.375  0.625  -0.01
O  0.875  0.250  0.625  -0.01
O  0.250  0.875  0.125  -0.01
O  0.750  0.125  0.875  -0.01
O  0.500  0.500  0.500  0.01
O  0.500  0.000  0.000  0.01
O  0.375  0.125  0.750  -0.01
O  0.500  0.000  0.500  0.01
O  0.000  0.000  0.000  0.01
O  0.125  0.750  0.375  -0.01
O  0.750  0.625  0.375  -0.01
O  0.875  0.625  0.750  -0.01
O  0.000  0.500  0.500  0.01

Summary:
For the formation energy without anion corrections, the calculation gives -1.093 eV/atom. Its total energy is -378.83 eV/cell. The space-group type is Ia-3d, No. 230. As for the volume: 2305.3 Å³ per cell. Its crystal system is cubic.

***

Below is a relaxed ZrIn2 crystal, with properties calculated at the GGA-PBE level.

Cell: 4.303 6.270 10.094 Å, 90.00 90.00 90.00°
Atoms (fractional coordinates):
In  0.750  0.348  0.269
In  0.250  0.152  0.769
In  0.750  0.876  0.567
In  0.250  0.124  0.433
In  0.250  0.652  0.731
In  0.750  0.848  0.231
In  0.750  0.376  0.933
In  0.250  0.624  0.067
Zr  0.250  0.616  0.398
Zr  0.750  0.384  0.602
Zr  0.750  0.884  0.898
Zr  0.250  0.116  0.102

Summary:
Its formation energy is -0.268 eV/atom. Its total energy is -59.32 eV/cell. The space-group type is Pnma, No. 62. As for the volume: 272.4 Å³ per cell. Its crystal system is orthorhombic.

***

Below is a relaxed Cu5Te3 crystal, with properties calculated at the GGA-PBE level.

Cell: 7.555 7.555 7.274 Å, 75.21 75.21 116.12°
Atoms (fractional coordinates):
Te  0.296  0.796  0.806
Te  0.739  0.748  0.983
Te  0.771  0.569  0.505
Te  0.069  0.271  0.505
Te  0.569  0.069  0.206
Te  0.248  0.239  0.983
Cu  0.332  0.176  0.639
Cu  0.433  0.344  0.240
Cu  0.752  0.447  0.887
Cu  0.947  0.252  0.887
Cu  0.125  0.625  0.573
Cu  0.676  0.832  0.639
Cu  0.359  0.666  0.204
Cu  0.669  0.169  0.504
Cu  0.844  0.933  0.240
Cu  0.166  0.859  0.204

Summary:
For the formation energy without anion corrections, the calculation gives 0.071 eV/atom. Its total energy is -58.67 eV/cell. The space-group type is Cm, No. 8. As for the volume: 326.5 Å³ per cell. Its crystal system is monoclinic.

***

Look up the volume of the eighth one. 326.5 Å³ per cell

***

Copy entry 7 word for word.
Below is a relaxed ZrIn2 crystal, with properties calculated at the GGA-PBE level.

Cell: 4.303 6.270 10.094 Å, 90.00 90.00 90.00°
Atoms (fractional coordinates):
In  0.750  0.348  0.269
In  0.250  0.152  0.769
In  0.750  0.876  0.567
In  0.250  0.124  0.433
In  0.250  0.652  0.731
In  0.750  0.848  0.231
In  0.750  0.376  0.933
In  0.250  0.624  0.067
Zr  0.250  0.616  0.398
Zr  0.750  0.384  0.602
Zr  0.750  0.884  0.898
Zr  0.250  0.116  0.102

Summary:
Its formation energy is -0.268 eV/atom. Its total energy is -59.32 eV/cell. The space-group type is Pnma, No. 62. As for the volume: 272.4 Å³ per cell. Its crystal system is orthorhombic.

***

Which value of volume does entry 8 give? 326.5 Å³ per cell

***

Which of these has the lowest volume? ZrTa3